Record 1
A plane-wave DFT calculation with PBE was carried out for a geometry-optimized TiMn2Cu structure.

The formation energy comes out at 54 meV per atom.

The space group is Fm-3m (No. 225) and the conventional cell measures 5.9593, 5.9593 and 5.9593 Å, with angles of 90.00, 90.00 and 90.00 degrees. The distinct sites, in fractional coordinates, are Ti at (0.0000, 0.0000, 0.0000), Mn at (0.2500, 0.2500, 0.2500) and Cu at (0.0000, 0.0000, 0.5000).

Record 2
A plane-wave DFT calculation with PBE was carried out for a geometry-optimized ScP2O2 structure.

For the energy above the most stable polymorph in this dataset, the calculation gives 853 meV per atom. The uncorrected formation energy comes out at -0.409 eV/atom.

The space group is P4/mmm (No. 123) and the conventional cell measures 3.6023, 3.6023 and 5.3489 Å, with angles of 90.00, 90.00 and 90.00 degrees. The distinct sites, in fractional coordinates, are Sc at (0.0000, 0.0000, 0.0000), P at (0.0000, 0.5000, 0.5000), O at (0.5000, 0.5000, 0.0000) and O at (0.5000, 0.5000, 0.5000).

Record 3
A plane-wave DFT calculation with PBE was carried out for a geometry-optimized LiMnFe2 structure.

For the energy above the most stable polymorph in this dataset, the calculation gives 113 meV per atom. The formation energy comes out at 318 meV per atom.

The space group is I-4m2 (No. 119) and the conventional cell measures 3.7377, 3.7377 and 6.4161 Å, with angles of 90.00, 90.00 and 90.00 degrees. The distinct sites, in fractional coordinates, are Li at (0.0000, 0.0000, 0.0000), Mn at (0.0000, 0.5000, 0.7500), Fe at (0.0000, 0.0000, 0.5000) and Fe at (0.0000, 0.5000, 0.2500).

Number 1: total magnetic moment 18.40 μB/cell. Number 2: total magnetic moment 0.00 μB/cell. Number 3: total magnetic moment 10.99 μB/cell.